# GGA-PBEsol La2AlNi9H, optimized geometry
data_La2AlNi9H
_chemical_formula_sum 'La4 Al2 Ni18 H2'
_cell_length_a 7.9956
_cell_length_b 4.9637
_cell_length_c 8.5135
_cell_angle_alpha 90.00
_cell_angle_beta 90.00
_cell_angle_gamma 90.00
_space_group_name_H-M_alt 'A m m 2'
_space_group_IT_number 38
_space_group_name_Hall 'A 2 -2'
loop_
_atom_site_label
_atom_site_fract_x
_atom_site_fract_y
_atom_site_fract_z
_atom_site_occupancy
La1 0.2302 0.0000 0.0000 1
Al1 0.5000 0.0000 0.5000 1
Ni1 0.0000 0.0000 0.4990 1
Ni2 0.0000 0.2504 0.2496 1
Ni3 0.2476 0.0000 0.3308 1
Ni4 0.2476 0.0000 0.6654 1
Ni5 0.5000 0.2461 0.2505 1
H1 0.5000 0.0000 0.8683 1
# Total magnetization in μB per formula unit: 0.01
# Total energy in eV/atom: -6.021
# D(E_F) in states/eV/cell: 24.906